Cr2BrO | PBE+U | relaxed

The structure belongs to space group I-42d (No. 122); the cell edges are 5.4936, 5.4936 and 11.0713 Å and the angles 90.00°, 90.00° and 90.00°. The asymmetric unit holds Cr at (0.1106, 0.2500, 0.1250), Br at (0.0000, 0.0000, 0.5000) and O at (0.0000, 0.0000, 0.0000).

The calculation puts the offset from the most stable computed form at 0.0 meV/atom. The calculated total energy comes out at -6.237 eV/atom. Its density of states at the Fermi level is 2.45 states/eV/cell.